Record 1
Compound: Cd3InHg2
Source: Alexandria via LeMat-Bulk
Functional: PBE
Structure: relaxed

Structure (extended XYZ):
```
12
Lattice="7.1282 -2.2898 0.0000 7.1282 2.2898 0.0000 -4.7677 0.0000 8.9288" Properties=species:S:1:pos:R:3 pbc="T T T"
Cd -1.1966 0.0000 3.3944
Cd 1.1503 0.0000 5.4975
Cd 3.5790 0.0000 3.4064
Cd 5.9098 0.0000 5.5224
Cd 8.3385 0.0000 3.4313
Cd 10.6854 0.0000 5.5344
In 1.2683 0.0000 1.0738
In 8.2205 0.0000 7.8550
Hg -1.1894 0.0000 7.7261
Hg 6.0022 0.0000 1.2605
Hg 3.4866 0.0000 7.6683
Hg 10.6781 0.0000 1.2027
```

Values from the calculation:
space-group type: C2/m (12)
energy relative to the elements: 1.7 kJ/mol of atoms
energy above the lowest structure with this stoichiometry: 0.0 meV/atom
spin magnetization: 0.00 μB per atom
raw total energy: -1.00 eV per atom


Record 2
Compound: Cd5In2Hg5
Source: Alexandria via LeMat-Bulk
Functional: PBE
Structure: relaxed

Structure (extended XYZ):
```
12
Lattice="6.9140 -2.2087 0.0000 6.9140 2.2087 0.0000 -3.9490 0.0000 9.6912" Properties=species:S:1:pos:R:3 pbc="T T T"
Cd 0.0000 0.0000 0.0000
Cd -1.7666 0.0000 7.3223
Cd 0.2982 0.0000 4.8954
Cd 9.5809 0.0000 4.7957
Cd 11.6457 0.0000 2.3689
In 2.7856 0.0000 7.2206
In 7.0934 0.0000 2.4706
Hg 2.5022 0.0000 2.4864
Hg 4.6585 0.0000 0.0527
Hg 4.9395 0.0000 4.8456
Hg 5.2206 0.0000 9.6385
Hg 7.3768 0.0000 7.2048
```

Values from the calculation:
space-group type: C2/m (12)
energy relative to the elements: 2.4 kJ/mol of atoms
energy above the lowest structure with this stoichiometry: 0.0 meV/atom
spin magnetization: 0.00 μB per atom
raw total energy: -0.94 eV per atom


Record 3
Compound: Cd8In3Hg4
Source: Alexandria via LeMat-Bulk
Functional: PBE
Structure: relaxed

Structure (extended XYZ):
```
30
Lattice="9.8265 0.0000 0.0000 -4.9132 8.5100 0.0000 0.0000 0.0000 9.0155" Properties=species:S:1:pos:R:3 pbc="T T T"
Cd 0.0000 0.0000 2.2841
Cd 0.0000 0.0000 6.7918
Cd 0.0000 2.0784 0.0000
Cd -3.1133 7.4708 0.0000
Cd 0.0000 3.0513 2.7938
Cd -2.2707 6.9843 2.7938
Cd 1.8000 1.0392 4.5078
Cd 0.0000 5.6733 4.3537
Cd 2.6425 1.5257 7.3016
Cd 2.2707 6.9843 2.7938
Cd 4.9132 2.8367 8.8615
Cd 3.1133 7.4708 0.0000
Cd 7.1840 1.5257 7.3016
Cd 4.9132 5.4587 7.3016
Cd 8.0265 1.0392 4.5078
Cd 4.9132 6.4316 4.5078
In -1.9703 4.5358 8.1316
In 1.9703 4.5358 8.1316
In 0.0000 7.9484 8.1316
In 4.9132 0.5616 3.6238
In 2.9430 3.9742 3.6238
In 6.8835 3.9742 3.6238
Hg 0.0000 3.2277 5.9992
Hg -2.1180 6.8961 5.9992
Hg 0.0000 5.6733 1.1968
Hg 2.7953 1.6138 1.4915
Hg 2.1180 6.8961 5.9992
Hg 4.9132 2.8367 5.7045
Hg 7.0312 1.6138 1.4915
Hg 4.9132 5.2823 1.4915
```

Values from the calculation:
space-group type: P6_3mc (186)
energy relative to the elements: 3.8 kJ/mol of atoms
spin magnetization: 0.00 μB per atom
raw total energy: -1.08 eV per atom


Record 4
Compound: Cd4In5Hg2
Source: Alexandria via LeMat-Bulk
Functional: PBE
Structure: relaxed

Structure (extended XYZ):
```
11
Lattice="5.7477 -3.3154 0.0000 5.7477 3.3154 0.0000 -5.0064 0.0000 7.6712" Properties=species:S:1:pos:R:3 pbc="T T T"
Cd 0.1419 0.0000 3.6955
Cd 1.9501 0.0000 1.1007
Cd 4.5390 0.0000 6.5705
Cd 6.3472 0.0000 3.9757
In 1.6027 1.5740 6.3346
In 4.8863 1.5740 1.3366
In 3.2445 0.0000 3.8356
In 1.6027 -1.5740 6.3346
In 4.8863 -1.5740 1.3366
Hg -1.5122 0.0000 6.0660
Hg 8.0012 0.0000 1.6052
```

Values from the calculation:
space-group type: C2/m (12)
energy relative to the elements: 5.5 kJ/mol of atoms
energy above the lowest structure with this stoichiometry: 8.3 meV/atom
spin magnetization: 0.00 μB per atom
raw total energy: -1.58 eV per atom


Record 5
Compound: CdIn2Hg
Source: Alexandria via LeMat-Bulk
Functional: PBE
Structure: relaxed

Structure (extended XYZ):
```
8
Lattice="4.0959 0.0000 0.0000 0.0000 5.2069 0.0000 0.0000 0.0000 9.7943" Properties=species:S:1:pos:R:3 pbc="T T T"
Cd 0.0000 0.0000 0.0000
Cd 2.0480 2.6035 0.0000
In 0.0000 2.6035 2.4208
In 0.0000 2.6035 7.3735
In 2.0480 0.0000 2.4208
In 2.0480 0.0000 7.3735
Hg 0.0000 0.0000 4.8971
Hg 2.0480 2.6035 4.8971
```

Values from the calculation:
space-group type: Cmmm (65)
energy relative to the elements: 2.7 kJ/mol of atoms
energy above the lowest structure with this stoichiometry: 22.1 meV/atom
spin magnetization: 0.00 μB per atom
raw total energy: -1.65 eV per atom


Record 6
Compound: CdIn12Hg6
Source: Alexandria via LeMat-Bulk
Functional: PBE
Structure: relaxed

Structure (extended XYZ):
```
19
Lattice="6.9335 4.0031 3.1028 -6.9335 4.0031 3.1028 0.0000 -8.0062 3.1028" Properties=species:S:1:pos:R:3 pbc="T T T"
Cd 0.0000 0.0000 0.0000
In -1.8293 -4.8311 3.1551
In -2.5132 -1.5497 4.1233
In -5.0985 -0.8313 6.1531
In -3.2692 3.9998 3.1551
In -2.5987 1.4017 5.1849
In 0.0855 -2.9514 5.1849
In -0.0855 2.9514 4.1233
In 2.5987 -1.4017 4.1233
In 3.2692 -3.9998 6.1531
In 5.0985 0.8313 3.1551
In 2.5132 1.5497 5.1849
In 1.8293 4.8311 6.1531
Hg -1.7527 0.9405 2.2548
Hg 0.0619 -1.9881 2.2548
Hg 1.6908 1.0476 2.2548
Hg -1.6908 -1.0476 7.0534
Hg -0.0619 1.9881 7.0534
Hg 1.7527 -0.9405 7.0534
```

Values from the calculation:
space-group type: R-3 (148)
energy relative to the elements: 3.1 kJ/mol of atoms
spin magnetization: 0.00 μB per atom
raw total energy: -1.84 eV per atom


Record 7
Compound: Cd3InHg8
Source: Alexandria via LeMat-Bulk
Functional: PBE
Structure: relaxed

Structure (extended XYZ):
```
12
Lattice="5.4332 -4.5906 0.0000 5.4332 4.5906 0.0000 -4.5292 0.0000 6.5869" Properties=species:S:1:pos:R:3 pbc="T T T"
Cd 0.0000 0.0000 0.0000
Cd 2.2455 1.9866 1.1488
Cd 2.2455 -1.9866 1.1488
In 0.8643 0.0000 3.5036
Hg 0.9694 3.0050 3.7906
Hg -1.7948 0.0000 5.2726
Hg 5.0893 1.5837 0.0673
Hg 3.9971 0.0000 2.6979
Hg 5.0893 -1.5837 0.0673
Hg 0.9694 -3.0050 3.7906
Hg 3.3019 0.0000 5.7034
Hg 8.8675 0.0000 2.2311
```

Values from the calculation:
space-group type: Cm (8)
energy relative to the elements: 3.7 kJ/mol of atoms
spin magnetization: 0.00 μB per atom
raw total energy: -0.62 eV per atom


Record 8
Compound: Cd3In2Hg5
Source: Alexandria via LeMat-Bulk
Functional: PBE
Structure: relaxed

Structure (extended XYZ):
```
10
Lattice="7.9446 -1.7403 0.0000 7.9446 1.7403 0.0000 -4.6970 0.0000 9.5801" Properties=species:S:1:pos:R:3 pbc="T T T"
Cd 0.0000 0.0000 0.0000
Cd 3.8341 0.0000 7.1098
Cd 7.3582 0.0000 2.4703
In -0.9968 0.0000 7.0219
In 12.1891 0.0000 2.5582
Hg 1.7366 0.0000 3.4146
Hg 0.6894 0.0000 9.5673
Hg 5.5962 0.0000 4.7900
Hg 10.5029 0.0000 0.0127
Hg 9.4557 0.0000 6.1654
```

Values from the calculation:
space-group type: C2/m (12)
energy relative to the elements: 3.0 kJ/mol of atoms
spin magnetization: 0.00 μB per atom
raw total energy: -0.94 eV per atom